Tl2Ni2OsO6: relaxed, GGA+U.

Unit cell a=5.361 b=9.235 c=6.691 alpha=90.00 beta=106.16 gamma=90.00
Space group C2/m (No. 12)
One atom of each set of equivalent atoms:
Tl (0.000, 0.170, 0.000) (multiplicity 4)
Ni (0.000, 0.334, 0.500) (multiplicity 4)
Os (0.000, 0.000, 0.500) (multiplicity 2)
O (0.209, 0.157, 0.662) (multiplicity 8)
O (0.249, 0.500, 0.665) (multiplicity 4)

Summary:
Total magnetization, μB per cell: 12.06
Calculated total energy, eV per atom: -5.4760